SrYCl2: relaxed, GGA-PBE.

The structure in POSCAR format:
```
SrYCl2
1.0
0.000 3.982 3.982
3.982 0.000 3.982
3.982 3.982 0.000
Sr Y Cl
1 1 2
direct
0.000 0.000 0.000
0.750 0.750 0.750
0.250 0.250 0.250
0.500 0.500 0.500
```

Computed properties:
DOS at the Fermi energy	6.1	states/eV per cell
offset from the most stable computed form	1.0462	eV/atom
VASP energy	-3.39	eV per atom
symmetry	F-43m, No. 216

---

KRb2OF: relaxed, GGA-PBE.

The structure in POSCAR format:
```
KRb2OF
1.0
2.019 -6.568 0.000
2.019 6.568 0.000
0.000 0.000 9.546
K Rb O F
2 4 2 2
direct
0.090 0.910 0.750
0.910 0.090 0.250
0.366 0.634 0.559
0.366 0.634 0.941
0.634 0.366 0.059
0.634 0.366 0.441
0.000 0.000 0.000
0.000 0.000 0.500
0.275 0.725 0.250
0.725 0.275 0.750
```

Computed properties:
VASP energy	-3.58	eV per atom
symmetry	Cmcm, No. 63

---

TiHRh2W: relaxed, GGA-PBE.

The structure in POSCAR format:
```
TiHRh2W
1.0
3.920 0.000 0.000
0.000 3.920 0.000
0.000 0.000 4.000
Ti H Rh W
1 1 2 1
direct
0.000 0.000 0.000
0.000 0.000 0.500
0.000 0.500 0.500
0.500 0.000 0.500
0.500 0.500 0.000
```

Computed properties:
DOS at the Fermi energy	3.6	states/eV per cell
offset from the most stable computed form	0.0000	eV/atom
VASP energy	-8.07	eV per atom
symmetry	P4/mmm, No. 123